(A)
Density functional theory data (GGA-PBE) for Sc3NbH after structural relaxation.

The structure in POSCAR format:
```
Sc3NbH
1.0
5.119 0.000 0.000
0.000 5.119 0.000
0.000 0.000 5.119
Sc Nb H
3 1 1
direct
0.000 0.000 0.500
0.000 0.500 0.000
0.500 0.000 0.000
0.000 0.000 0.000
0.500 0.500 0.500
```

Properties
The space-group type is Pm-3m, No. 221.



(B)
Density functional theory data (GGA-PBE) for Sc3NbH after structural relaxation.

The structure in POSCAR format:
```
Sc3NbH
1.0
4.444 0.000 0.000
0.000 4.444 0.000
0.000 0.000 4.444
Sc Nb H
3 1 1
direct
0.000 0.000 0.500
0.000 0.500 0.000
0.500 0.000 0.000
0.500 0.500 0.500
0.000 0.000 0.000
```

Properties
The space-group type is Pm-3m, No. 221.



Relative to the most stable structure, the computed energies are (A) 1213; (B) 0, all in meV/atom.



(A)
Density functional theory data (GGA-PBE) for ScNbH2 after structural relaxation.

The structure in POSCAR format:
```
ScNbH2
1.0
-2.496 2.496 3.674
2.496 -2.496 3.674
2.496 2.496 -3.674
Sc Nb H
2 2 4
direct
0.000 0.000 0.000
0.750 0.250 0.500
0.250 0.750 0.500
0.500 0.500 0.000
0.142 0.625 0.017
0.375 0.392 0.517
0.608 0.125 0.983
0.875 0.858 0.483
```

Properties
The space-group type is I-42d, No. 122.



(B)
Density functional theory data (GGA-PBE) for ScNbH2 after structural relaxation.

The structure in POSCAR format:
```
ScNbH2
1.0
0.000 2.803 2.803
2.803 0.000 2.803
2.803 2.803 0.000
Sc Nb H
1 1 2
direct
0.000 0.000 0.000
0.500 0.500 0.500
0.250 0.250 0.250
0.750 0.750 0.750
```

Properties
The space-group type is Fm-3m, No. 225.



Relative to the most stable structure, the computed energies are (A) 0; (B) 644, all in meV/atom.



(A)
Density functional theory data (GGA-PBE) for ScNb2H after structural relaxation.

The structure in POSCAR format:
```
ScNb2H
1.0
1.480 0.854 8.256
-1.480 0.854 8.256
0.000 -1.709 8.256
Sc Nb H
1 2 1
direct
0.000 0.000 0.000
0.113 0.113 0.113
0.887 0.887 0.887
0.500 0.500 0.500
```

Properties
The space-group type is R-3m, No. 166.



(B)
Density functional theory data (GGA-PBE) for ScNb2H after structural relaxation.

The structure in POSCAR format:
```
ScNb2H
1.0
-2.922 2.922 4.113
2.922 -2.922 4.113
2.922 2.922 -4.113
Sc Nb H
2 4 2
direct
0.000 0.000 0.000
0.750 0.250 0.500
0.374 0.125 0.749
0.375 0.626 0.751
0.376 0.625 0.251
0.875 0.624 0.249
0.250 0.750 0.500
0.500 0.500 0.000
```

Properties
The space-group type is I-42d, No. 122.



(C)
Density functional theory data (GGA-PBE) for ScNb2H after structural relaxation.

The structure in POSCAR format:
```
ScNb2H
1.0
0.000 3.183 3.183
3.183 0.000 3.183
3.183 3.183 0.000
Sc Nb H
1 2 1
direct
0.000 0.000 0.000
0.250 0.250 0.250
0.750 0.750 0.750
0.500 0.500 0.500
```

Properties
The space-group type is Fm-3m, No. 225.



Relative to the most stable structure, the computed energies are (A) 94; (B) 0; (C) 921, all in meV/atom.



(A)
Density functional theory data (GGA-PBE) for ScTiNb2H after structural relaxation.

The structure in POSCAR format:
```
ScTiNb2H
1.0
5.203 0.000 0.000
0.000 5.203 0.000
0.000 0.000 3.191
Sc Ti Nb H
1 1 2 1
direct
0.000 0.000 0.000
0.500 0.500 0.500
0.000 0.500 0.000
0.500 0.000 0.000
0.000 0.000 0.500
```

Properties
The space-group type is P4/mmm, No. 123.



(B)
Density functional theory data (GGA-PBE) for ScTiNb2H after structural relaxation.

The structure in POSCAR format:
```
ScTiNb2H
1.0
4.104 0.000 0.000
0.000 4.104 0.000
0.000 0.000 4.664
Sc Ti Nb H
1 1 2 1
direct
0.000 0.000 0.000
0.500 0.500 0.000
0.000 0.500 0.500
0.500 0.000 0.500
0.500 0.500 0.500
```

Properties
The space-group type is P4/mmm, No. 123.



Relative to the most stable structure, the computed energies are (A) 959; (B) 0, all in meV/atom.